Crystalline Zn2TeRu at its relaxed geometry, computed with PBE-GGA.

a b c (Å): 3.276 4.689 4.652
angles (deg): 90.00 91.28 90.00
Fractional coordinates of all 4 atoms:
Zn1 0.236 0.000 0.284
Zn2 0.764 0.000 0.716
Te1 0.500 0.500 0.000
Ru1 0.000 0.500 0.500

Summary:
- crystal system = monoclinic
- SG = P2/m
- ΔE_f (raw) (kcal/mol of atoms) = 6.1
- energy (eV/f.u.) = -13.909